Record 1
# Cs2LiH6Os

A geometry-optimized Cs2LiH6Os structure (PBE-GGA, Alexandria).

symmetry: No. 164
total DFT energy (no corrections): -37.09 eV/cell

The structure in POSCAR format:
```
Cs2LiH6Os
1.0
6.270 0.000 0.000
-3.135 5.430 0.000
0.000 0.000 5.056
Cs Li H Os
2 1 6 1
direct
0.333 0.667 0.244 Cs
0.667 0.333 0.756 Cs
0.000 0.000 0.000 Li
0.128 0.257 0.705 H
0.128 0.872 0.705 H
0.257 0.128 0.295 H
0.743 0.872 0.705 H
0.872 0.128 0.295 H
0.872 0.743 0.295 H
0.000 0.000 0.500 Os
```

=====

Record 2
# InBi6Pb8

A geometry-optimized InBi6Pb8 structure (PBE-GGA, Alexandria).

symmetry: No. 2
total DFT energy (no corrections): -54.78 eV/cell

The structure in POSCAR format:
```
InBi6Pb8
1.0
8.525 0.000 0.000
-3.482 7.820 0.000
-0.969 -4.711 7.337
In Bi Pb
1 6 8
direct
0.000 0.000 0.000 In
0.008 0.290 0.414 Bi
0.286 0.797 0.969 Bi
0.421 0.490 0.670 Bi
0.579 0.510 0.330 Bi
0.714 0.203 0.031 Bi
0.992 0.710 0.586 Bi
0.108 0.904 0.336 Pb
0.169 0.489 0.127 Pb
0.349 0.222 0.867 Pb
0.444 0.849 0.590 Pb
0.556 0.151 0.410 Pb
0.651 0.778 0.133 Pb
0.831 0.511 0.873 Pb
0.892 0.096 0.664 Pb
```

=====

Record 3
# Ba2Zn2Pd

A geometry-optimized Ba2Zn2Pd structure (PBE-GGA, Alexandria).

energy relative to the lowest polymorph listed for this composition: 184.1 meV/atom
symmetry: No. 139

The structure in POSCAR format:
```
Ba2Zn2Pd
1.0
-1.962 1.962 9.744
1.962 -1.962 9.744
1.962 1.962 -9.744
Ba Zn Pd
2 2 1
direct
0.097 0.097 0.000 Ba
0.903 0.903 0.000 Ba
0.250 0.750 0.500 Zn
0.750 0.250 0.500 Zn
0.500 0.500 0.000 Pd
```

=====

Record 4
# CsBi3Pb4

A geometry-optimized CsBi3Pb4 structure (PBE-GGA, Alexandria).

symmetry: No. 123
total DFT energy (no corrections): -28.20 eV/cell

The structure in POSCAR format:
```
CsBi3Pb4
1.0
5.447 0.000 0.000
0.000 5.447 0.000
0.000 0.000 11.013
Cs Bi Pb
1 3 4
direct
0.000 0.000 0.000 Cs
0.000 0.000 0.500 Bi
0.500 0.500 0.163 Bi
0.500 0.500 0.837 Bi
0.000 0.500 0.327 Pb
0.000 0.500 0.673 Pb
0.500 0.000 0.327 Pb
0.500 0.000 0.673 Pb
```

=====

Record 5
# ZnHPd2Au

A geometry-optimized ZnHPd2Au structure (PBE-GGA, Alexandria).

energy relative to the lowest polymorph listed for this composition: 0.0 meV/atom
symmetry: No. 123

The structure in POSCAR format:
```
ZnHPd2Au
1.0
4.043 0.000 0.000
0.000 4.043 0.000
0.000 0.000 4.009
Zn H Pd Au
1 1 2 1
direct
0.000 0.000 0.000 Zn
0.500 0.500 0.500 H
0.000 0.500 0.500 Pd
0.500 0.000 0.500 Pd
0.500 0.500 0.000 Au
```

=====

Record 6
# UV2

A geometry-optimized UV2 structure (PBE-GGA, Alexandria).

symmetry: No. 191
total DFT energy (no corrections): -28.08 eV/cell

The structure in POSCAR format:
```
UV2
1.0
4.715 0.000 0.000
-2.357 4.083 0.000
0.000 0.000 2.601
U V
1 2
direct
0.000 0.000 0.000 U
0.333 0.667 0.500 V
0.667 0.333 0.500 V
```

=====

Record 7
# HfVFe2

A geometry-optimized HfVFe2 structure (PBE-GGA, Alexandria).

energy relative to the lowest polymorph listed for this composition: 24.0 meV/atom
symmetry: No. 225

The structure in POSCAR format:
```
HfVFe2
1.0
0.000 3.014 3.014
3.014 0.000 3.014
3.014 3.014 0.000
Hf V Fe
1 1 2
direct
0.000 0.000 0.000 Hf
0.500 0.500 0.500 V
0.250 0.250 0.250 Fe
0.750 0.750 0.750 Fe
```

=====

Record 8
# YZrAg2

A geometry-optimized YZrAg2 structure (PBE-GGA, Alexandria).

energy relative to the lowest polymorph listed for this composition: 0.0 meV/atom
symmetry: No. 99

The structure in POSCAR format:
```
YZrAg2
1.0
3.590 0.000 0.000
0.000 3.590 0.000
0.000 0.000 6.911
Y Zr Ag
1 1 2
direct
0.000 0.000 0.000 Y
0.500 0.500 0.303 Zr
0.000 0.000 0.527 Ag
0.500 0.500 0.745 Ag
```

=====

Record 9
# BaHg2As2

A geometry-optimized BaHg2As2 structure (PBE-GGA, Alexandria).

symmetry: No. 139
total DFT energy (no corrections): -13.78 eV/cell

The structure in POSCAR format:
```
BaHg2As2
1.0
-2.343 2.343 6.265
2.343 -2.343 6.265
2.343 2.343 -6.265
Ba Hg As
1 2 2
direct
0.000 0.000 0.000 Ba
0.250 0.750 0.500 Hg
0.750 0.250 0.500 Hg
0.398 0.398 0.000 As
0.602 0.602 0.000 As
```

=====

Record 10
# LiCo4Se2

A geometry-optimized LiCo4Se2 structure (PBE-GGA, Alexandria).

symmetry: No. 139
formation energy (no corrections): 57 kJ/mol of atoms

The structure in POSCAR format:
```
LiCo4Se2
1.0
-1.998 1.998 6.053
1.998 -1.998 6.053
1.998 1.998 -6.053
Li Co Se
1 4 2
direct
0.000 0.000 0.000 Li
0.000 0.500 0.500 Co
0.187 0.187 0.000 Co
0.500 0.000 0.500 Co
0.813 0.813 0.000 Co
0.375 0.375 0.000 Se
0.625 0.625 0.000 Se
```

=====

Record 11
# K2Y2HfSe6

A geometry-optimized K2Y2HfSe6 structure (PBE-GGA, Alexandria).

symmetry: No. 12
formation energy (no corrections): -160 kJ/mol of atoms

The structure in POSCAR format:
```
K2Y2HfSe6
1.0
3.538 -6.076 0.000
3.538 6.076 0.000
-2.427 0.000 7.862
K Y Hf Se
2 2 1 6
direct
0.171 0.829 0.000 K
0.829 0.171 0.000 K
0.333 0.667 0.500 Y
0.667 0.333 0.500 Y
0.000 0.000 0.500 Hf
0.070 0.384 0.699 Se
0.246 0.246 0.303 Se
0.384 0.070 0.699 Se
0.616 0.930 0.301 Se
0.754 0.754 0.697 Se
0.930 0.616 0.301 Se
```

=====

Record 12
# MgAg2

A geometry-optimized MgAg2 structure (PBE-GGA, Alexandria).

energy relative to the lowest polymorph listed for this composition: 23.4 meV/atom
symmetry: No. 194

The structure in POSCAR format:
```
MgAg2
1.0
4.675 0.000 0.000
-2.337 4.048 0.000
0.000 0.000 5.782
Mg Ag
2 4
direct
0.333 0.667 0.250 Mg
0.667 0.333 0.750 Mg
0.000 0.000 0.000 Ag
0.000 0.000 0.500 Ag
0.333 0.667 0.750 Ag
0.667 0.333 0.250 Ag
```

=====

Record 13
# Sm5Tl2Ge2

A geometry-optimized Sm5Tl2Ge2 structure (PBE-GGA, Alexandria).

symmetry: No. 64
total DFT energy (no corrections): -85.65 eV/cell

The structure in POSCAR format:
```
Sm5Tl2Ge2
1.0
8.050 -3.966 0.000
8.050 3.966 0.000
0.000 0.000 7.975
Sm Tl Ge
10 4 4
direct
0.000 0.000 0.000 Sm
0.053 0.695 0.674 Sm
0.195 0.553 0.174 Sm
0.305 0.947 0.674 Sm
0.447 0.805 0.174 Sm
0.500 0.500 0.500 Sm
0.553 0.195 0.826 Sm
0.695 0.053 0.326 Sm
0.805 0.447 0.826 Sm
0.947 0.305 0.326 Sm
0.217 0.217 0.000 Tl
0.283 0.283 0.500 Tl
0.717 0.717 0.500 Tl
0.783 0.783 0.000 Tl
0.126 0.874 0.370 Ge
0.374 0.626 0.870 Ge
0.626 0.374 0.130 Ge
0.874 0.126 0.630 Ge
```

=====

Record 14
# Sr2Mg5Ag3

A geometry-optimized Sr2Mg5Ag3 structure (PBE-GGA, Alexandria).

symmetry: No. 36
total DFT energy (no corrections): -43.52 eV/cell

The structure in POSCAR format:
```
Sr2Mg5Ag3
1.0
2.370 -14.022 0.000
2.370 14.022 0.000
0.000 0.000 7.696
Sr Mg Ag
4 10 6
direct
0.023 0.977 0.500 Sr
0.324 0.676 0.554 Sr
0.676 0.324 0.054 Sr
0.977 0.023 0.000 Sr
0.100 0.900 0.870 Mg
0.208 0.792 0.363 Mg
0.208 0.792 0.750 Mg
0.369 0.631 0.038 Mg
0.443 0.557 0.675 Mg
0.557 0.443 0.175 Mg
0.631 0.369 0.538 Mg
0.792 0.208 0.250 Mg
0.792 0.208 0.863 Mg
0.900 0.100 0.370 Mg
0.113 0.887 0.248 Ag
0.267 0.733 0.057 Ag
0.452 0.548 0.296 Ag
0.548 0.452 0.796 Ag
0.733 0.267 0.557 Ag
0.887 0.113 0.748 Ag
```

=====

Record 15
# Al2TcNi

A geometry-optimized Al2TcNi structure (PBE-GGA, Alexandria).

symmetry: No. 99
total DFT energy (no corrections): -24.24 eV/cell

The structure in POSCAR format:
```
Al2TcNi
1.0
2.707 0.000 0.000
0.000 2.707 0.000
0.000 0.000 7.593
Al Tc Ni
2 1 1
direct
0.000 0.000 0.000 Al
0.500 0.500 0.290 Al
0.500 0.500 0.743 Tc
0.000 0.000 0.509 Ni
```

=====

Record 16
# Nb4NiC

A geometry-optimized Nb4NiC structure (PBE-GGA, Alexandria).

symmetry: No. 14
total DFT energy (no corrections): -110.86 eV/cell

The structure in POSCAR format:
```
Nb4NiC
1.0
5.769 0.000 0.000
0.000 5.643 0.000
-0.517 0.000 5.769
Nb Ni C
8 2 2
direct
0.117 0.159 0.185 Nb
0.117 0.341 0.685 Nb
0.337 0.628 0.111 Nb
0.337 0.872 0.611 Nb
0.663 0.128 0.389 Nb
0.663 0.372 0.889 Nb
0.883 0.659 0.315 Nb
0.883 0.841 0.815 Nb
0.500 0.000 0.000 Ni
0.500 0.500 0.500 Ni
0.000 0.000 0.500 C
0.000 0.500 0.000 C
```

=====

Record 17
# NaSrSn2Cl6

A geometry-optimized NaSrSn2Cl6 structure (PBE-GGA, Alexandria).

symmetry: No. 146
formation energy (no corrections): -135 kJ/mol of atoms

The structure in POSCAR format:
```
NaSrSn2Cl6
1.0
3.766 2.174 6.360
-3.766 2.174 6.360
0.000 -4.348 6.360
Na Sr Sn Cl
1 1 2 6
direct
0.000 0.000 0.000 Na
0.526 0.526 0.526 Sr
0.311 0.311 0.311 Sn
0.744 0.744 0.744 Sn
0.142 0.384 0.718 Cl
0.221 0.925 0.602 Cl
0.384 0.718 0.142 Cl
0.602 0.221 0.925 Cl
0.718 0.142 0.384 Cl
0.925 0.602 0.221 Cl
```

=====

Record 18
# Mg2HgIr

A geometry-optimized Mg2HgIr structure (PBE-GGA, Alexandria).

energy relative to the lowest polymorph listed for this composition: 515.2 meV/atom
symmetry: No. 122

The structure in POSCAR format:
```
Mg2HgIr
1.0
-2.056 2.056 9.315
2.056 -2.056 9.315
2.056 2.056 -9.315
Mg Hg Ir
4 2 2
direct
0.103 0.625 0.978 Mg
0.375 0.353 0.478 Mg
0.647 0.125 0.022 Mg
0.875 0.897 0.522 Mg
0.250 0.750 0.500 Hg
0.500 0.500 0.000 Hg
0.000 0.000 0.000 Ir
0.750 0.250 0.500 Ir
```

=====

Record 19
# Li4Mn

A geometry-optimized Li4Mn structure (PBE-GGA, Alexandria).

energy relative to the lowest polymorph listed for this composition: 165.5 meV/atom
symmetry: No. 229

The structure in POSCAR format:
```
Li4Mn
1.0
-3.112 3.112 3.112
3.112 -3.112 3.112
3.112 3.112 -3.112
Li Mn
4 1
direct
0.000 0.000 0.500 Li
0.000 0.500 0.000 Li
0.500 0.000 0.000 Li
0.500 0.500 0.500 Li
0.000 0.000 0.000 Mn
```

=====

Record 20
# CaTaMo2

A geometry-optimized CaTaMo2 structure (PBE-GGA, Alexandria).

energy relative to the lowest polymorph listed for this composition: 255.6 meV/atom
symmetry: No. 225

The structure in POSCAR format:
```
CaTaMo2
1.0
0.000 3.335 3.335
3.335 0.000 3.335
3.335 3.335 0.000
Ca Ta Mo
1 1 2
direct
0.000 0.000 0.000 Ca
0.500 0.500 0.500 Ta
0.250 0.250 0.250 Mo
0.750 0.750 0.750 Mo
```